# BeFe2Pb | Alexandria via LeMat-Bulk | PBE | optimized geometry
# - E_tot: -5.59 eV/atom
# - D(E_F): 3.75 states/eV/f.u.
# - Calculated formation energy: 0.50 eV per atom
data_BeFe2Pb
_space_group_name_H-M_alt 'P 1'
_space_group_IT_number 1
_cell_length_a 4.811
_cell_length_b 4.811
_cell_length_c 4.811
_cell_angle_alpha 134.03
_cell_angle_beta 134.03
_cell_angle_gamma 67.05
loop_
_space_group_symop_operation_xyz
'x,y,z'
loop_
_atom_site_label
_atom_site_type_symbol
_atom_site_fract_x
_atom_site_fract_y
_atom_site_fract_z
_atom_site_occupancy
Be1 Be 0.000 0.000 0.000 1
Fe1 Fe 0.250 0.750 0.500 1
Fe2 Fe 0.750 0.250 0.500 1
Pb1 Pb 0.500 0.500 0.000 1